(1)
This record from Alexandria via LeMat-Bulk describes crystalline BeCd2Ru at its relaxed geometry. The functional is PBE.

The structure in POSCAR format:
```
BeCd2Ru
1.0
2.8309 -0.0197 0.0000
-1.1106 2.6040 0.0000
0.0000 0.0000 8.9677
Ru Be Cd
1 1 2
Direct
0.0000 0.0000 0.5441 Ru
0.5000 0.5000 0.7169 Be
0.0000 0.0000 0.9604 Cd
0.5000 0.5000 0.2786 Cd
```

Symmetry: Cmm2, No. 35
Formation energy from the elements, eV/f.u.: 1.096

(2)
This record from Alexandria via LeMat-Bulk describes crystalline Pu2TaP3 at its relaxed geometry. The functional is PBE.

The structure in POSCAR format:
```
Pu2TaP3
1.0
6.4915 0.0160 -1.1979
-2.4962 5.9923 -1.1979
0.0119 0.0178 12.1280
Pu Ta P
8 4 12
Direct
0.9972 0.4972 0.9944 Pu
0.4190 0.4190 0.8379 Pu
0.8310 0.3310 0.6621 Pu
0.2528 0.2528 0.5056 Pu
0.7472 0.7472 0.4944 Pu
0.6690 0.1690 0.3379 Pu
0.5810 0.5810 0.1621 Pu
0.5028 0.0028 0.0056 Pu
0.9141 0.9141 0.8282 Ta
0.3359 0.8359 0.6718 Ta
0.1641 0.6641 0.3282 Ta
0.0859 0.0859 0.1718 Ta
0.1648 0.6832 0.8272 P
0.6623 0.1440 0.8272 P
0.0852 0.0668 0.6728 P
0.5877 0.6060 0.6728 P
0.0243 0.5243 0.5000 P
0.4757 0.9757 0.5000 P
0.3940 0.4123 0.3272 P
0.9332 0.9148 0.3272 P
0.8560 0.3377 0.1728 P
0.3168 0.8352 0.1728 P
0.2257 0.2257 0.0000 P
0.7743 0.7743 0.0000 P
```

Symmetry: Fddd, No. 70
Formation energy from the elements, eV/f.u.: -6.122

(3)
This record from Alexandria via LeMat-Bulk describes crystalline Nd7Dy4Th at its relaxed geometry. The functional is PBE.

The structure in POSCAR format:
```
Nd7Dy4Th
1.0
-2.0687 0.5401 5.6945
1.6828 -10.5107 4.8569
4.5019 2.0143 4.6931
Nd Dy Th
7 4 1
Direct
0.7883 0.9203 0.5030 Nd
0.2117 0.0797 0.4970 Nd
0.0595 0.6765 0.2044 Nd
0.9405 0.3235 0.7956 Nd
0.3702 0.5018 0.7578 Nd
0.5000 0.0000 0.0000 Nd
0.6298 0.4982 0.2422 Nd
0.6399 0.2234 0.4969 Dy
0.3601 0.7766 0.5031 Dy
0.7518 0.6816 0.8147 Dy
0.2482 0.3184 0.1853 Dy
0.0000 0.0000 0.0000 Th
```

Symmetry: C2/m, No. 12
Formation energy from the elements, eV/f.u.: 3.302

(4)
This record from Alexandria via LeMat-Bulk describes crystalline RhPb2 at its relaxed geometry. The functional is PBE.

The structure in POSCAR format:
```
RhPb2
1.0
2.4503 -4.2440 0.0000
2.4503 4.2440 0.0000
0.0000 0.0000 6.8201
Rh Pb
2 4
Direct
0.6667 0.3333 0.2500 Rh
0.3333 0.6667 0.7500 Rh
0.0000 0.0000 0.0000 Pb
0.0000 0.0000 0.5000 Pb
0.3333 0.6667 0.2500 Pb
0.6667 0.3333 0.7500 Pb
```

Symmetry: P6_3/mmc, No. 194
Formation energy from the elements, eV/f.u.: 0.521

(5)
This record from Alexandria via LeMat-Bulk describes crystalline La4DyEr8 at its relaxed geometry. The functional is PBE.

The structure in POSCAR format:
```
La4DyEr8
1.0
7.5896 -1.1580 1.3224
0.9043 7.6240 1.3224
-1.5212 -1.1580 7.5523
La Dy Er
4 1 8
Direct
0.5000 0.0000 0.5000 La
0.0000 0.5000 0.5000 La
0.5000 0.5000 0.0000 La
0.0000 0.0000 0.0000 La
0.5000 0.5000 0.5000 Dy
0.2392 0.7586 0.2392 Er
0.7608 0.7608 0.2414 Er
0.7608 0.2414 0.7608 Er
0.2414 0.7608 0.7608 Er
0.7603 0.7603 0.7603 Er
0.2397 0.2397 0.2397 Er
0.7586 0.2392 0.2392 Er
0.2392 0.2392 0.7586 Er
```

Symmetry: R-3m, No. 166
Formation energy from the elements, eV/f.u.: 7.133

(6)
This record from Alexandria via LeMat-Bulk describes crystalline CdSb2IBr at its relaxed geometry. The functional is PBE.

The structure in POSCAR format:
```
CdSb2IBr
1.0
5.7084 0.0000 0.0000
0.0000 5.7084 0.0000
0.0000 0.0000 5.7498
I Sb Br Cd
1 2 1 1
Direct
0.0000 0.0000 0.5000 I
0.0000 0.5000 0.0000 Sb
0.5000 0.0000 0.0000 Sb
0.0000 0.0000 0.0000 Br
0.5000 0.5000 0.5000 Cd
```

Symmetry: P4/mmm, No. 123
Uncorrected formation energy, eV per atom: 0.786

(7)
This record from Alexandria via LeMat-Bulk describes crystalline Mn3SiW at its relaxed geometry. The functional is PBE.

The structure in POSCAR format:
```
Mn3SiW
1.0
-0.4592 -4.0552 -0.0728
0.2548 0.0443 -4.0736
4.0478 -0.4628 0.2482
Si Mn W
1 3 1
Direct
0.0000 0.0000 0.0000 Si
0.0000 0.5000 0.0000 Mn
0.0000 0.0000 0.5000 Mn
0.5000 0.0000 0.0000 Mn
0.5000 0.5000 0.5000 W
```

Symmetry: Pm-3m, No. 221
Uncorrected formation energy, eV per atom: 0.883

(8)
This record from Alexandria via LeMat-Bulk describes crystalline LiAcSeO4 at its relaxed geometry. The functional is PBE.

The structure in POSCAR format:
```
LiAcSeO4
1.0
-7.1485 -1.5317 -0.4006
-2.4264 -5.2994 -3.3488
-3.1080 -4.1206 4.3066
Li Ac Se O
2 2 2 8
Direct
0.5000 0.0000 0.5000 Li
0.0000 0.0000 0.5000 Li
0.0000 0.0000 0.0000 Ac
0.0000 0.5000 0.5000 Ac
0.5582 0.6918 0.1918 Se
0.4418 0.3082 0.8082 Se
0.6886 0.7344 0.8884 O
0.3114 0.6116 0.7656 O
0.6886 0.3884 0.2344 O
0.3114 0.2656 0.1116 O
0.1771 0.7812 0.2812 O
0.7605 0.7812 0.2812 O
0.2395 0.2188 0.7188 O
0.8229 0.2188 0.7188 O
```

Symmetry: Imma, No. 74
Uncorrected formation energy, eV per atom: -1.856

(9)
This record from Alexandria via LeMat-Bulk describes crystalline LiP2SCl at its relaxed geometry. The functional is PBE.

The structure in POSCAR format:
```
LiP2SCl
1.0
4.3718 0.0000 0.0000
0.0000 4.3718 0.0000
0.0000 0.0000 7.7050
P S Li Cl
2 1 1 1
Direct
0.0000 0.5000 0.0000 P
0.5000 0.0000 0.0000 P
0.0000 0.0000 0.0000 S
0.5000 0.5000 0.5000 Li
0.0000 0.0000 0.5000 Cl
```

Symmetry: P4/mmm, No. 123
Uncorrected formation energy, eV per atom: 0.281

(10)
This record from Alexandria via LeMat-Bulk describes crystalline PuThPaSn at its relaxed geometry. The functional is PBE.

The structure in POSCAR format:
```
PuThPaSn
1.0
5.3360 0.0000 0.0000
2.6680 4.6211 0.0000
2.6680 1.5404 4.3568
Pa Sn Th Pu
1 1 1 1
Direct
0.5000 0.5000 0.5000 Pa
0.0000 0.0000 0.0000 Sn
0.7500 0.7500 0.7500 Th
0.2500 0.2500 0.2500 Pu
```

Symmetry: F-43m, No. 216
Formation energy from the elements, eV/f.u.: -0.029

(11)
This record from Alexandria via LeMat-Bulk describes crystalline Ti2VRu3 at its relaxed geometry. The functional is PBE.

The structure in POSCAR format:
```
Ti2VRu3
1.0
3.0480 0.0000 0.0000
0.0000 3.0480 0.0000
0.0000 0.0000 9.2232
Ti V Ru
2 1 3
Direct
0.5000 0.5000 0.8321 Ti
0.5000 0.5000 0.1679 Ti
0.5000 0.5000 0.5000 V
0.0000 0.0000 0.0000 Ru
0.0000 0.0000 0.6640 Ru
0.0000 0.0000 0.3360 Ru
```

Symmetry: P4/mmm, No. 123
Formation energy from the elements, eV/f.u.: -3.492

(12)
This record from Alexandria via LeMat-Bulk describes crystalline Nd3CdGa2 at its relaxed geometry. The functional is PBE.

The structure in POSCAR format:
```
Nd3CdGa2
1.0
-1.5018 -0.0914 3.3122
1.2368 -3.3892 0.4673
10.0795 4.3247 4.6895
Nd Cd Ga
3 1 2
Direct
0.0000 0.0000 0.0000 Nd
0.0000 0.0000 0.6805 Nd
0.0000 0.0000 0.3195 Nd
0.5000 0.5000 0.5000 Cd
0.5000 0.5000 0.8357 Ga
0.5000 0.5000 0.1643 Ga
```

Symmetry: P4/mmm, No. 123
Formation energy from the elements, eV/f.u.: -2.860